1.
Here is a relaxed Cu2MoPt crystal from Alexandria. Energies are from PBE-GGA.

Results
- final energy (Ry per atom) = -0.46485
- space group = P4mm, No. 99
- offset from the most stable computed form (meV per atom) = 0.0
- calculated volume (Å³/cell) = 55.46
- M_tot (μB per atom) = 0.000

```
Cu2MoPt
1.0
2.737 0.000 0.000
0.000 2.737 0.000
0.000 0.000 7.403
Cu Pt Mo
2 1 1
direct
0.500 0.500 0.234
0.000 0.000 0.014
0.500 0.500 0.759
0.000 0.000 0.493
```



2.
Here is a relaxed LaTm4Se6 crystal from Alexandria. Energies are from PBE-GGA.

Results
- final energy (Ry per atom) = -0.42653
- ΔE_f (raw) (kcal/mol of atoms) = -42.170
- space group = Cmcm, No. 63
- calculated volume (Å³/cell) = 549.11
- M_tot (μB per atom) = 0.000

```
LaTm4Se6
1.0
-3.207 2.005 1.402
-1.531 -1.996 -6.448
-7.800 -17.576 7.291
Se Tm La
12 8 2
direct
0.954 0.909 0.838
0.500 0.000 0.000
0.677 0.355 0.750
0.954 0.909 0.662
0.500 0.000 0.500
0.234 0.468 0.590
0.046 0.091 0.338
0.323 0.645 0.250
0.234 0.468 0.910
0.766 0.532 0.090
0.766 0.532 0.410
0.046 0.091 0.162
0.593 0.185 0.624
0.859 0.718 0.538
0.141 0.282 0.038
0.859 0.718 0.962
0.407 0.815 0.124
0.141 0.282 0.462
0.593 0.185 0.876
0.407 0.815 0.376
0.344 0.689 0.750
0.656 0.311 0.250
```



3.
Here is a relaxed Hf2BCl crystal from Alexandria. Energies are from PBE-GGA.

Results
- final energy (Ry per atom) = -0.52711
- ΔE_f (raw) (kcal/mol of atoms) = -1.476
- space group = Fm-3m, No. 225
- offset from the most stable computed form (meV per atom) = 65.6
- calculated volume (Å³/cell) = 61.32
- M_tot (μB per atom) = 0.000

```
Hf2BCl
1.0
1.981 -1.990 3.422
2.845 2.258 2.529
-1.109 1.096 4.142
Cl B Hf
1 1 2
direct
0.500 0.500 0.500
0.000 0.000 0.000
0.250 0.250 0.250
0.750 0.750 0.750
```



4.
Here is a relaxed Ba3Sn2Bi2 crystal from Alexandria. Energies are from PBE-GGA.

Results
- final energy (Ry per atom) = -0.27511
- space group = C2/m, No. 12
- calculated volume (Å³/cell) = 286.12
- M_tot (μB per atom) = 0.000

```
Ba3Sn2Bi2
1.0
5.046 0.000 0.000
-2.523 6.005 -2.379
0.000 0.298 9.324
Bi Ba Sn
2 3 2
direct
0.035 0.071 0.353
0.965 0.929 0.647
0.677 0.354 0.644
0.323 0.646 0.356
0.500 0.000 0.000
0.816 0.633 0.055
0.184 0.367 0.945
```



5.
Here is a relaxed CaAs3Cl crystal from Alexandria. Energies are from PBE-GGA.

Results
- final energy (Ry per atom) = -0.20297
- ΔE_f (raw) (kcal/mol of atoms) = 18.397
- space group = Pm-3m, No. 221
- offset from the most stable computed form (meV per atom) = 482.7
- calculated volume (Å³/cell) = 160.75
- M_tot (μB per atom) = 0.000

```
CaAs3Cl
1.0
5.437 0.000 0.000
0.000 5.437 0.000
0.000 0.000 5.437
Cl Ca As
1 1 3
direct
0.500 0.500 0.500
0.000 0.000 0.000
0.000 0.000 0.500
0.500 0.000 0.000
0.000 0.500 0.000
```



6.
Here is a relaxed BePtO crystal from Alexandria. Energies are from PBE-GGA.

Results
- final energy (Ry per atom) = -0.44230
- ΔE_f (raw) (kcal/mol of atoms) = -25.585
- space group = P4/nmm, No. 129
- calculated volume (Å³/cell) = 76.95
- M_tot (μB per atom) = 0.000

```
BePtO
1.0
3.391 0.000 0.000
0.000 3.391 0.000
0.000 0.000 6.691
Pt O Be
2 2 2
direct
0.000 0.500 0.062
0.500 0.000 0.938
0.500 0.500 0.500
0.000 0.000 0.500
0.000 0.500 0.491
0.500 0.000 0.509
```



7.
Here is a relaxed PrNd2TmMg crystal from Alexandria. Energies are from PBE-GGA.

Results
- final energy (Ry per atom) = -0.29821
- space group = P2_1/m, No. 11
- calculated volume (Å³/cell) = 321.47
- M_tot (μB per atom) = 0.000

```
PrNd2TmMg
1.0
-0.303 0.591 -5.666
2.911 -5.515 -0.731
-6.408 -7.085 -0.396
Pr Mg Tm Nd
2 2 2 4
direct
0.750 0.351 0.613
0.250 0.649 0.387
0.750 0.585 0.191
0.250 0.415 0.809
0.750 0.156 0.998
0.250 0.844 0.002
0.250 0.260 0.195
0.750 0.986 0.391
0.750 0.740 0.805
0.250 0.014 0.609
```



8.
Here is a relaxed BeTcPHCl crystal from Alexandria. Energies are from PBE-GGA.

Results
- final energy (Ry per atom) = -0.38665
- space group = Imm2, No. 44
- offset from the most stable computed form (meV per atom) = 84.6
- calculated volume (Å³/cell) = 136.95
- M_tot (μB per atom) = 0.000

```
BeTcPHCl
1.0
3.663 0.000 0.000
0.000 3.125 0.000
0.000 0.000 11.964
Be H Cl P Tc
2 2 2 2 2
direct
0.500 0.500 0.191
0.000 0.000 0.691
0.000 0.500 0.198
0.500 0.000 0.698
0.000 0.500 0.573
0.500 0.000 0.073
0.000 0.500 0.845
0.500 0.000 0.345
0.500 0.000 0.837
0.000 0.500 0.337
```



9.
Here is a relaxed YBe2Ru crystal from Alexandria. Energies are from PBE-GGA.

Results
- final energy (Ry per atom) = -0.41114
- space group = P4/mmm, No. 123
- offset from the most stable computed form (meV per atom) = 455.3
- calculated volume (Å³/cell) = 59.92
- M_tot (μB per atom) = 0.000

```
YBe2Ru
1.0
4.020 0.000 0.000
0.000 4.020 0.000
0.000 0.000 3.709
Y Ru Be
1 1 2
direct
0.000 0.500 0.500
0.500 0.000 0.500
0.500 0.500 0.000
0.000 0.000 0.000
```



10.
Here is a relaxed As5C7 crystal from Alexandria. Energies are from PBE-GGA.

Results
- final energy (Ry per atom) = -0.45988
- space group = I4mm, No. 107
- calculated volume (Å³/cell) = 148.05
- M_tot (μB per atom) = 0.000

```
As5C7
1.0
-5.672 2.285 -0.045
3.887 -1.967 4.291
2.997 5.075 -1.630
C As
7 5
direct
0.529 0.529 0.000
0.606 0.978 0.372
0.978 0.606 0.372
0.855 0.355 0.500
0.355 0.855 0.500
0.234 0.606 0.628
0.606 0.234 0.628
0.106 0.106 0.000
0.414 0.802 0.000
0.802 0.414 0.000
0.414 0.414 0.612
0.802 0.802 0.388
```